A relaxed structure of TbPr2Nd6Mg. Source: Alexandria, functional PBE. Values from VASP.

Properties
* D(E_F): 26.72 states/eV/cell
* formation enthalpy at 0 K: 0.107 eV per atom
* space group: C2/c
* energy: -4.333 eV per atom

Geometry as Quantum ESPRESSO input:
```
&SYSTEM
  ibrav = 0, nat = 20, ntyp = 4
/
ATOMIC_SPECIES
Nd 144.24 Nd.upf
Tb 158.93 Tb.upf
Mg 24.30 Mg.upf
Pr 140.91 Pr.upf
CELL_PARAMETERS angstrom
-7.041 0.276 6.627
4.208 -6.875 3.874
3.003 8.191 1.966
ATOMIC_POSITIONS angstrom
Nd 1.025 -3.869 3.517
Nd -2.286 -3.786 10.138
Nd 2.455 5.377 2.329
Nd 0.254 -0.955 5.088
Nd -0.301 -4.043 6.852
Nd -0.856 5.460 8.949
Nd -0.085 2.546 7.379
Nd 0.471 5.634 5.615
Nd -3.520 2.350 8.000
Nd 3.689 -0.759 4.466
Nd -3.183 4.868 5.742
Nd 3.352 -3.277 6.724
Tb 2.425 -6.525 5.495
Tb -2.255 8.117 6.972
Mg 1.737 2.079 4.405
Mg -1.568 -0.487 8.061
Pr -1.381 1.982 10.566
Pr 1.550 -0.391 1.900
Pr -2.088 1.225 5.027
Pr 2.258 0.367 7.440
```

=====

A relaxed structure of TbPr2Nd2Mg. Source: Alexandria, functional PBE. Values from VASP.

Properties
* D(E_F): 17.88 states/eV/cell
* formation enthalpy at 0 K: 0.177 eV per atom
* space group: Ibam
* energy: -4.043 eV per atom

Geometry as Quantum ESPRESSO input:
```
&SYSTEM
  ibrav = 0, nat = 12, ntyp = 4
/
ATOMIC_SPECIES
Nd 144.24 Nd.upf
Tb 158.93 Tb.upf
Mg 24.30 Mg.upf
Pr 140.91 Pr.upf
CELL_PARAMETERS angstrom
-6.069 3.082 -1.067
-1.910 -1.692 5.977
7.373 7.104 0.834
ATOMIC_POSITIONS angstrom
Nd -0.678 5.642 4.914
Nd 4.435 4.376 2.656
Nd -5.041 4.119 3.089
Nd 0.072 2.853 0.831
Tb -1.432 -1.269 4.483
Tb -0.477 -0.423 1.494
Mg -4.467 0.272 3.950
Mg -3.512 1.118 0.961
Pr -2.027 2.605 3.623
Pr 2.324 4.100 5.437
Pr -2.930 4.395 0.308
Pr 1.421 5.889 2.122
```

=====

A relaxed structure of Tb3Pr2Nd6Mg. Source: Alexandria, functional PBE. Values from VASP.

Properties
* D(E_F): 13.75 states/eV/cell
* formation enthalpy at 0 K: 0.009 eV per atom
* space group: C2/m
* energy: -4.462 eV per atom

Geometry as Quantum ESPRESSO input:
```
&SYSTEM
  ibrav = 0, nat = 12, ntyp = 4
/
ATOMIC_SPECIES
Nd 144.24 Nd.upf
Tb 158.93 Tb.upf
Mg 24.30 Mg.upf
Pr 140.91 Pr.upf
CELL_PARAMETERS angstrom
-0.131 4.726 -4.134
-5.366 -2.299 2.316
2.340 6.945 9.464
ATOMIC_POSITIONS angstrom
Nd 0.389 5.788 6.620
Nd -1.517 8.180 4.648
Nd -3.246 5.860 6.778
Nd -1.639 1.193 2.999
Nd 0.089 3.513 0.869
Nd -3.546 3.584 1.026
Tb -3.326 2.340 5.977
Tb -1.578 4.686 3.823
Tb 0.170 7.032 1.669
Mg 0.000 0.000 0.000
Pr -3.623 0.039 0.169
Pr -1.874 2.388 -1.987
```

=====

The highest formation enthalpy at 0 K belongs to which entry?
TbPr2Nd2Mg